Record 1
A plane-wave DFT calculation with GGA-PBE was carried out for an optimized crystal structure of TlCd2SiO4.

Computed properties:
- Energy: -41.2 eV for the cell shown
- Volume: 16.0 Å³/atom
- Spin magnetization: 0.000 μB per formula unit

Cell and atoms, written as POSCAR:
```
TlCd2SiO4
1.0
-2.850 2.850 3.937
2.850 -2.850 3.937
2.850 2.850 -3.937
Tl Cd Si O
1 2 1 4
direct
0.000 0.000 0.000
0.250 0.750 0.500
0.750 0.250 0.500
0.500 0.500 0.000
0.209 0.546 0.000
0.454 0.454 0.663
0.546 0.209 0.000
0.791 0.791 0.337
```

***

Record 2
A plane-wave DFT calculation with GGA-PBE was carried out for an optimized crystal structure of Pr2Ag5Pd.

Computed properties:
- Energy of formation from the pure elements: -1.93 eV/f.u.
- Volume: 22.9 Å³/atom
- Spin magnetization: 0.000 μB per formula unit

Cell and atoms, written as POSCAR:
```
Pr2Ag5Pd
1.0
2.092 -8.852 0.000
2.092 8.852 0.000
0.000 0.000 9.901
Pr Ag Pd
4 10 2
direct
0.000 0.000 0.000
0.000 0.000 0.500
0.178 0.822 0.750
0.822 0.178 0.250
0.206 0.794 0.106
0.206 0.794 0.394
0.364 0.636 0.026
0.364 0.636 0.474
0.388 0.612 0.750
0.612 0.388 0.250
0.636 0.364 0.526
0.636 0.364 0.974
0.794 0.206 0.606
0.794 0.206 0.894
0.456 0.544 0.250
0.544 0.456 0.750
```

***

Record 3
A plane-wave DFT calculation with GGA-PBE was carried out for an optimized crystal structure of SiSn.

Computed properties:
- Energy: -51.6 eV for the cell shown
- Volume: 32.0 Å³/atom
- Spin magnetization: 0.000 μB per formula unit

Cell and atoms, written as POSCAR:
```
SiSn
1.0
12.195 0.000 0.000
0.000 4.203 0.000
0.000 0.000 7.503
Si Sn
6 6
direct
0.000 0.004 0.000
0.208 0.341 0.278
0.292 0.659 0.778
0.500 0.996 0.500
0.708 0.659 0.778
0.792 0.341 0.278
0.000 0.498 0.219
0.207 0.159 0.933
0.293 0.841 0.433
0.500 0.502 0.719
0.707 0.841 0.433
0.793 0.159 0.933
```

***

Record 4
A plane-wave DFT calculation with GGA-PBE was carried out for an optimized crystal structure of Li2AlW.

Computed properties:
- Energy of formation from the pure elements: 1.39 eV/f.u.
- Volume: 14.4 Å³/atom
- Spin magnetization: 0.000 μB per formula unit

Cell and atoms, written as POSCAR:
```
Li2AlW
1.0
-1.334 2.361 4.575
1.334 -2.361 4.575
1.334 2.361 -4.575
Li Al W
2 1 1
direct
0.000 0.000 0.000
0.773 0.273 0.500
0.533 0.533 0.000
0.274 0.774 0.500
```

***

Record 5
A plane-wave DFT calculation with GGA-PBE was carried out for an optimized crystal structure of FeHgRu.

Computed properties:
- Energy of formation from the pure elements: 1.63 eV/f.u.
- E above lowest polymorph: 176 meV/atom
- Volume: 15.9 Å³/atom
- Spin magnetization: 3.104 μB per formula unit

Cell and atoms, written as POSCAR:
```
FeHgRu
1.0
4.296 0.000 0.000
-2.148 3.720 0.000
0.000 0.000 2.985
Fe Hg Ru
1 1 1
direct
0.000 0.000 0.000
0.333 0.667 0.500
0.667 0.333 0.000
```

***

Record 6
A plane-wave DFT calculation with GGA-PBE was carried out for an optimized crystal structure of AlRe5.

Computed properties:
- Energy of formation from the pure elements: -0.19 eV/f.u.
- E above lowest polymorph: 5 meV/atom
- Volume: 14.9 Å³/atom
- Spin magnetization: 0.000 μB per formula unit

Cell and atoms, written as POSCAR:
```
AlRe5
1.0
4.479 0.000 0.000
0.000 1.411 7.060
0.000 -1.411 7.060
Al Re
1 5
direct
0.000 0.000 0.000
0.000 0.328 0.328
0.000 0.663 0.663
0.500 0.220 0.220
0.500 0.551 0.551
0.500 0.888 0.888
```

***

Record 7
A plane-wave DFT calculation with GGA-PBE was carried out for an optimized crystal structure of SrTmPdAu.

Computed properties:
- Energy of formation from the pure elements: -2.69 eV/f.u.
- Volume: 23.9 Å³/atom
- Spin magnetization: 0.000 μB per formula unit

Cell and atoms, written as POSCAR:
```
SrTmPdAu
1.0
0.000 3.630 3.630
3.630 0.000 3.630
3.630 3.630 0.000
Sr Tm Pd Au
1 1 1 1
direct
0.000 0.000 0.000
0.500 0.500 0.500
0.250 0.250 0.250
0.750 0.750 0.750
```

***

Record 8
A plane-wave DFT calculation with GGA-PBE was carried out for an optimized crystal structure of KCu4Ir.

Computed properties:
- Energy of formation from the pure elements: 3.06 eV/f.u.
- Volume: 15.1 Å³/atom
- Spin magnetization: 0.000 μB per formula unit

Cell and atoms, written as POSCAR:
```
KCu4Ir
1.0
0.000 3.563 3.563
3.563 0.000 3.563
3.563 3.563 0.000
K Cu Ir
1 4 1
direct
0.000 0.000 0.000
0.129 0.624 0.624
0.624 0.129 0.624
0.624 0.624 0.129
0.624 0.624 0.624
0.250 0.250 0.250
```

***

Record 9
A plane-wave DFT calculation with GGA-PBE was carried out for an optimized crystal structure of KAgBiBr5.

Computed properties:
- Energy: -46.7 eV for the cell shown
- Volume: 37.8 Å³/atom
- Spin magnetization: 0.000 μB per formula unit

Cell and atoms, written as POSCAR:
```
KAgBiBr5
1.0
4.643 -6.563 0.000
4.643 6.563 0.000
-4.029 0.000 9.928
K Ag Bi Br
2 2 2 10
direct
0.143 0.857 0.750
0.857 0.143 0.250
0.190 0.810 0.250
0.810 0.190 0.750
0.500 0.500 0.000
0.500 0.500 0.500
0.122 0.242 0.945
0.180 0.577 0.396
0.242 0.122 0.445
0.412 0.588 0.750
0.423 0.820 0.104
0.577 0.180 0.896
0.588 0.412 0.250
0.758 0.878 0.555
0.820 0.423 0.604
0.878 0.758 0.055
```

***

Record 10
A plane-wave DFT calculation with GGA-PBE was carried out for an optimized crystal structure of Cd2PbBr.

Computed properties:
- E above lowest polymorph: 197 meV/atom
- Volume: 28.2 Å³/atom
- Spin magnetization: 0.014 μB per formula unit

Cell and atoms, written as POSCAR:
```
Cd2PbBr
1.0
0.000 3.836 3.836
3.836 0.000 3.836
3.836 3.836 0.000
Cd Pb Br
2 1 1
direct
0.000 0.000 0.000
0.250 0.250 0.250
0.500 0.500 0.500
0.750 0.750 0.750
```

***

Record 11
A plane-wave DFT calculation with GGA-PBE was carried out for an optimized crystal structure of LaPr3Y2As6.

Computed properties:
- Energy of formation from the pure elements: -18.24 eV/f.u.
- Volume: 27.3 Å³/atom
- Spin magnetization: 0.000 μB per formula unit

Cell and atoms, written as POSCAR:
```
LaPr3Y2As6
1.0
3.690 -6.391 0.000
3.690 6.391 0.000
-2.460 0.000 6.958
La Pr Y As
1 3 2 6
direct
0.000 0.000 0.000
0.165 0.835 0.500
0.500 0.500 0.500
0.835 0.165 0.500
0.333 0.667 0.000
0.667 0.333 0.000
0.081 0.421 0.244
0.259 0.259 0.757
0.421 0.081 0.244
0.579 0.919 0.756
0.741 0.741 0.243
0.919 0.579 0.756
```

***

Record 12
A plane-wave DFT calculation with GGA-PBE was carried out for an optimized crystal structure of Pr4Ni2C.

Computed properties:
- Energy of formation from the pure elements: 0.69 eV/f.u.
- Volume: 26.5 Å³/atom
- Spin magnetization: 0.001 μB per formula unit

Cell and atoms, written as POSCAR:
```
Pr4Ni2C
1.0
-2.523 2.523 7.280
2.523 -2.523 7.280
2.523 2.523 -7.280
Pr Ni C
4 2 1
direct
0.000 0.500 0.500
0.195 0.195 0.000
0.500 0.000 0.500
0.805 0.805 0.000
0.375 0.375 0.000
0.625 0.625 0.000
0.500 0.500 0.000
```

***

Record 13
A plane-wave DFT calculation with GGA-PBE was carried out for an optimized crystal structure of K2NbTlSe4.

Computed properties:
- Energy: -70.5 eV for the cell shown
- Volume: 40.4 Å³/atom
- Spin magnetization: 0.000 μB per formula unit

Cell and atoms, written as POSCAR:
```
K2NbTlSe4
1.0
0.000 6.690 12.792
3.775 0.000 12.792
3.775 6.690 0.000
K Nb Tl Se
4 2 2 8
direct
0.070 0.070 0.680
0.320 0.320 0.930
0.680 0.680 0.070
0.930 0.930 0.320
0.375 0.375 0.375
0.625 0.625 0.625
0.125 0.125 0.125
0.875 0.875 0.875
0.027 0.616 0.515
0.343 0.515 0.616
0.384 0.973 0.657
0.485 0.657 0.973
0.515 0.343 0.027
0.616 0.027 0.343
0.657 0.485 0.384
0.973 0.384 0.485
```

***

Record 14
A plane-wave DFT calculation with GGA-PBE was carried out for an optimized crystal structure of AcMg4Ni2.

Computed properties:
- Energy of formation from the pure elements: -1.05 eV/f.u.
- E above lowest polymorph: 18 meV/atom
- Volume: 21.3 Å³/atom
- Spin magnetization: 0.000 μB per formula unit

Cell and atoms, written as POSCAR:
```
AcMg4Ni2
1.0
2.152 -8.134 0.000
2.152 8.134 0.000
0.000 0.000 4.258
Ac Mg Ni
1 4 2
direct
0.000 0.000 0.000
0.177 0.823 0.500
0.323 0.677 0.000
0.677 0.323 0.000
0.823 0.177 0.500
0.426 0.574 0.500
0.574 0.426 0.500
```

***

Record 15
A plane-wave DFT calculation with GGA-PBE was carried out for an optimized crystal structure of TaNbMoRu.

Computed properties:
- Energy of formation from the pure elements: -1.22 eV/f.u.
- Volume: 16.4 Å³/atom
- Spin magnetization: 0.000 μB per formula unit

Cell and atoms, written as POSCAR:
```
TaNbMoRu
1.0
0.000 3.200 3.200
3.200 0.000 3.200
3.200 3.200 0.000
Ta Nb Mo Ru
1 1 1 1
direct
0.000 0.000 0.000
0.500 0.500 0.500
0.750 0.750 0.750
0.250 0.250 0.250
```

***

Record 16
A plane-wave DFT calculation with GGA-PBE was carried out for an optimized crystal structure of SrBrO4.

Computed properties:
- E above lowest polymorph: 26 meV/atom
- Volume: 19.2 Å³/atom
- Spin magnetization: 1.000 μB per formula unit

Cell and atoms, written as POSCAR:
```
SrBrO4
1.0
5.254 -2.777 0.000
5.254 2.777 0.000
-0.023 0.000 7.901
Sr Br O
2 2 8
direct
0.000 0.500 0.000
0.500 0.000 0.500
0.091 0.909 0.250
0.909 0.091 0.750
0.159 0.181 0.739
0.181 0.159 0.239
0.263 0.716 0.079
0.284 0.737 0.421
0.716 0.263 0.579
0.737 0.284 0.921
0.819 0.841 0.761
0.841 0.819 0.261
```

***

Record 17
A plane-wave DFT calculation with GGA-PBE was carried out for an optimized crystal structure of Li4ScSb2.

Computed properties:
- Energy: -26.7 eV for the cell shown
- Volume: 19.4 Å³/atom
- Spin magnetization: 0.000 μB per formula unit

Cell and atoms, written as POSCAR:
```
Li4ScSb2
1.0
2.249 1.298 7.748
-2.249 1.298 7.748
0.000 -2.596 7.748
Li Sc Sb
4 1 2
direct
0.076 0.076 0.076
0.363 0.363 0.363
0.637 0.637 0.637
0.924 0.924 0.924
0.500 0.500 0.500
0.240 0.240 0.240
0.760 0.760 0.760
```

***

Record 18
A plane-wave DFT calculation with GGA-PBE was carried out for an optimized crystal structure of LaNd14Tm.

Computed properties:
- Energy of formation from the pure elements: 0.20 eV/f.u.
- Volume: 35.1 Å³/atom
- Spin magnetization: 0.000 μB per formula unit

Cell and atoms, written as POSCAR:
```
LaNd14Tm
1.0
7.347 0.000 0.000
0.000 7.347 0.000
0.000 0.000 10.394
La Nd Tm
1 14 1
direct
0.000 0.000 0.000
0.000 0.000 0.500
0.000 0.500 0.000
0.000 0.500 0.500
0.252 0.252 0.249
0.252 0.252 0.751
0.252 0.748 0.249
0.252 0.748 0.751
0.500 0.000 0.000
0.500 0.000 0.500
0.500 0.500 0.500
0.748 0.252 0.249
0.748 0.252 0.751
0.748 0.748 0.249
0.748 0.748 0.751
0.500 0.500 0.000
```

***

Record 19
A plane-wave DFT calculation with GGA-PBE was carried out for an optimized crystal structure of NaMn2Tl3Cl9.

Computed properties:
- Energy: -60.3 eV for the cell shown
- Volume: 26.2 Å³/atom
- Spin magnetization: 9.000 μB per formula unit

Cell and atoms, written as POSCAR:
```
NaMn2Tl3Cl9
1.0
7.143 0.000 0.000
-3.571 6.186 0.000
0.000 0.000 8.882
Na Mn Tl Cl
1 2 3 9
direct
0.000 0.000 0.000
0.333 0.667 0.664
0.667 0.333 0.336
0.000 0.000 0.500
0.333 0.667 0.156
0.667 0.333 0.844
0.000 0.500 0.500
0.174 0.347 0.814
0.174 0.826 0.814
0.347 0.174 0.186
0.500 0.000 0.500
0.500 0.500 0.500
0.653 0.826 0.814
0.826 0.174 0.186
0.826 0.653 0.186
```

***

Record 20
A plane-wave DFT calculation with GGA-PBE was carried out for an optimized crystal structure of Pu2GeW.

Computed properties:
- Energy of formation from the pure elements: 0.23 eV/f.u.
- Volume: 20.2 Å³/atom
- Spin magnetization: 8.506 μB per formula unit

Cell and atoms, written as POSCAR:
```
Pu2GeW
1.0
3.782 0.000 0.000
0.000 3.782 0.000
0.000 0.000 5.642
Pu Ge W
2 1 1
direct
0.000 0.000 0.241
0.000 0.000 0.759
0.500 0.500 0.000
0.500 0.500 0.500
```

***

Record 21
A plane-wave DFT calculation with GGA-PBE was carried out for an optimized crystal structure of Li2Cd3Pd4.

Computed properties:
- Energy of formation from the pure elements: -2.94 eV/f.u.
- E above lowest polymorph: 77 meV/atom
- Volume: 17.3 Å³/atom
- Spin magnetization: 0.000 μB per formula unit

Cell and atoms, written as POSCAR:
```
Li2Cd3Pd4
1.0
5.975 -5.229 0.000
5.975 5.229 0.000
-1.232 0.000 4.993
Li Cd Pd
4 6 8
direct
0.008 0.648 0.935
0.352 0.992 0.565
0.648 0.008 0.435
0.992 0.352 0.065
0.044 0.956 0.750
0.196 0.592 0.496
0.408 0.804 0.004
0.592 0.196 0.996
0.804 0.408 0.504
0.956 0.044 0.250
0.143 0.272 0.618
0.272 0.143 0.118
0.330 0.473 0.025
0.473 0.330 0.525
0.527 0.670 0.475
0.670 0.527 0.975
0.728 0.857 0.882
0.857 0.728 0.382
```

***

Record 22
A plane-wave DFT calculation with GGA-PBE was carried out for an optimized crystal structure of Ta2SbTeH.

Computed properties:
- E above lowest polymorph: 1303 meV/atom
- Volume: 31.0 Å³/atom
- Spin magnetization: 1.053 μB per formula unit

Cell and atoms, written as POSCAR:
```
Ta2SbTeH
1.0
5.159 0.000 0.000
0.000 5.159 0.000
0.000 0.000 5.822
Ta Sb Te H
2 1 1 1
direct
0.000 0.500 0.000
0.500 0.000 0.000
0.000 0.000 0.000
0.000 0.000 0.500
0.500 0.500 0.500
```

***

Record 23
A plane-wave DFT calculation with GGA-PBE was carried out for an optimized crystal structure of ZrNiRu.

Computed properties:
- Energy of formation from the pure elements: -0.93 eV/f.u.
- E above lowest polymorph: 95 meV/atom
- Volume: 15.5 Å³/atom
- Spin magnetization: 0.000 μB per formula unit

Cell and atoms, written as POSCAR:
```
ZrNiRu
1.0
4.394 -2.021 0.000
4.394 2.021 0.000
-1.473 0.000 5.230
Zr Ni Ru
2 2 2
direct
0.000 0.000 0.000
0.716 0.716 0.377
0.034 0.034 0.522
0.360 0.360 0.192
0.358 0.358 0.689
0.678 0.678 0.855
```